[1]
Crystalline SmY2Er5Sc at its relaxed geometry, computed with GGA-PBE.

Lattice parameters (Å, degrees): 10.164 10.164 10.363 90.00 90.00 148.34
Sites, in units of the cell vectors:
Sm (0.086, 0.914, 0.500)
Sm (0.914, 0.086, 0.000)
Y (0.387, 0.613, 0.779)
Y (0.389, 0.611, 0.360)
Y (0.611, 0.389, 0.860)
Y (0.613, 0.387, 0.279)
Er (0.019, 0.981, 0.783)
Er (0.121, 0.879, 0.065)
Er (0.201, 0.799, 0.749)
Er (0.222, 0.778, 0.364)
Er (0.480, 0.520, 0.065)
Er (0.520, 0.480, 0.565)
Er (0.778, 0.222, 0.864)
Er (0.799, 0.201, 0.249)
Er (0.879, 0.121, 0.565)
Er (0.981, 0.019, 0.283)
Sc (0.303, 0.697, 0.058)
Sc (0.697, 0.303, 0.558)

Values from the calculation:
Its space group is Cmc2_1, No. 36. The calculation puts the spin magnetization at 0.00 μB/atom. The formation energy is 0.17 eV per atom.

[2]
Crystalline Sm2YEr4Sc at its relaxed geometry, computed with GGA-PBE.

Lattice parameters (Å, degrees): 4.981 4.981 9.900 90.00 90.00 90.00
Sites, in units of the cell vectors:
Sm (0.000, 0.000, 0.000)
Sm (0.500, 0.500, 0.500)
Y (0.000, 0.000, 0.500)
Er (0.000, 0.500, 0.244)
Er (0.000, 0.500, 0.756)
Er (0.500, 0.000, 0.244)
Er (0.500, 0.000, 0.756)
Sc (0.500, 0.500, 0.000)

Values from the calculation:
Its space group is P4/mmm, No. 123. The calculation puts the spin magnetization at 0.00 μB/atom. The formation energy is 0.04 eV per atom.

[3]
Crystalline Sm4YEr2Sc at its relaxed geometry, computed with GGA-PBE.

Lattice parameters (Å, degrees): 5.047 5.047 9.879 90.00 90.00 90.00
Sites, in units of the cell vectors:
Sm (0.000, 0.500, 0.244)
Sm (0.000, 0.500, 0.756)
Sm (0.500, 0.000, 0.244)
Sm (0.500, 0.000, 0.756)
Y (0.000, 0.000, 0.500)
Er (0.000, 0.000, 0.000)
Er (0.500, 0.500, 0.500)
Sc (0.500, 0.500, 0.000)

Values from the calculation:
Its space group is P4/mmm, No. 123. The calculation puts the spin magnetization at 0.00 μB/atom. The formation energy is 0.03 eV per atom.

[4]
Crystalline SmYEr2Sc4 at its relaxed geometry, computed with GGA-PBE.

Lattice parameters (Å, degrees): 4.893 4.893 9.337 90.00 90.00 90.00
Sites, in units of the cell vectors:
Sm (0.000, 0.000, 0.000)
Y (0.500, 0.500, 0.500)
Er (0.000, 0.000, 0.500)
Er (0.500, 0.500, 0.000)
Sc (0.000, 0.500, 0.250)
Sc (0.000, 0.500, 0.750)
Sc (0.500, 0.000, 0.250)
Sc (0.500, 0.000, 0.750)

Values from the calculation:
Its space group is P4/mmm, No. 123. The calculation puts the spin magnetization at 0.00 μB/atom. The formation energy is 0.06 eV per atom.

[5]
Crystalline Sm3Y6Er2Sc at its relaxed geometry, computed with GGA-PBE.

Lattice parameters (Å, degrees): 6.155 6.155 11.750 95.00 95.00 119.97
Sites, in units of the cell vectors:
Sm (0.000, 0.000, 0.000)
Sm (0.333, 0.667, 0.000)
Sm (0.667, 0.333, 0.000)
Y (0.088, 0.419, 0.255)
Y (0.250, 0.250, 0.745)
Y (0.419, 0.088, 0.255)
Y (0.581, 0.912, 0.745)
Y (0.750, 0.750, 0.255)
Y (0.912, 0.581, 0.745)
Er (0.167, 0.833, 0.500)
Er (0.833, 0.167, 0.500)
Sc (0.500, 0.500, 0.500)

Values from the calculation:
Its space group is C2/m, No. 12. The calculation puts the spin magnetization at 0.00 μB/atom. The formation energy is 0.03 eV per atom.

[6]
Crystalline SmY5Er2Sc at its relaxed geometry, computed with GGA-PBE.

Lattice parameters (Å, degrees): 10.334 10.334 10.374 90.00 90.00 148.87
Sites, in units of the cell vectors:
Sm (0.089, 0.911, 0.500)
Sm (0.911, 0.089, 0.000)
Y (0.019, 0.981, 0.789)
Y (0.127, 0.873, 0.072)
Y (0.201, 0.799, 0.754)
Y (0.227, 0.773, 0.380)
Y (0.483, 0.517, 0.068)
Y (0.517, 0.483, 0.568)
Y (0.773, 0.227, 0.880)
Y (0.799, 0.201, 0.254)
Y (0.873, 0.127, 0.572)
Y (0.981, 0.019, 0.289)
Er (0.386, 0.614, 0.787)
Er (0.390, 0.610, 0.364)
Er (0.610, 0.390, 0.864)
Er (0.614, 0.386, 0.287)
Sc (0.308, 0.692, 0.067)
Sc (0.692, 0.308, 0.567)

Values from the calculation:
Its space group is Cmc2_1, No. 36. The calculation puts the spin magnetization at 0.00 μB/atom. The formation energy is 0.17 eV per atom.

[7]
Crystalline SmY2Er6Sc at its relaxed geometry, computed with GGA-PBE.

Lattice parameters (Å, degrees): 9.033 9.033 8.649 90.76 90.76 118.37
Sites, in units of the cell vectors:
Sm (0.037, 0.963, 0.750)
Sm (0.963, 0.037, 0.250)
Y (0.211, 0.319, 0.559)
Y (0.319, 0.211, 0.059)
Y (0.681, 0.789, 0.941)
Y (0.789, 0.681, 0.441)
Er (0.042, 0.461, 0.297)
Er (0.126, 0.788, 0.055)
Er (0.212, 0.874, 0.445)
Er (0.267, 0.531, 0.910)
Er (0.461, 0.042, 0.797)
Er (0.469, 0.733, 0.590)
Er (0.531, 0.267, 0.410)
Er (0.539, 0.958, 0.203)
Er (0.733, 0.469, 0.090)
Er (0.788, 0.126, 0.555)
Er (0.874, 0.212, 0.945)
Er (0.958, 0.539, 0.703)
Sc (0.441, 0.559, 0.250)
Sc (0.559, 0.441, 0.750)

Values from the calculation:
Its space group is C2/c, No. 15. The calculation puts the spin magnetization at 0.00 μB/atom. The formation energy is 0.13 eV per atom.

[8]
Crystalline SmY4Er2Sc at its relaxed geometry, computed with GGA-PBE.

Lattice parameters (Å, degrees): 6.103 3.534 11.681 90.00 100.06 90.00
Sites, in units of the cell vectors:
Sm (0.000, 0.000, 0.000)
Y (0.245, 0.000, 0.744)
Y (0.252, 0.500, 0.254)
Y (0.748, 0.500, 0.746)
Y (0.755, 0.000, 0.256)
Er (0.500, 0.000, 0.500)
Er (0.500, 0.500, 0.000)
Sc (0.000, 0.500, 0.500)

Values from the calculation:
Its space group is P2/m, No. 10. The calculation puts the spin magnetization at 0.00 μB/atom. The formation energy is 0.04 eV per atom.

[9]
Crystalline SmYEr2Sc2 at its relaxed geometry, computed with GGA-PBE.

Lattice parameters (Å, degrees): 6.297 17.282 3.333 90.00 90.00 90.00
Sites, in units of the cell vectors:
Sm (0.000, 0.000, 0.000)
Sm (0.500, 0.500, 0.500)
Y (0.000, 0.500, 0.000)
Y (0.500, 0.000, 0.500)
Er (0.224, 0.310, 0.000)
Er (0.276, 0.810, 0.500)
Er (0.724, 0.190, 0.500)
Er (0.776, 0.690, 0.000)
Sc (0.223, 0.147, 0.500)
Sc (0.277, 0.647, 0.000)
Sc (0.723, 0.353, 0.000)
Sc (0.777, 0.853, 0.500)

Values from the calculation:
Its space group is Pnnm, No. 58. The calculation puts the spin magnetization at 0.00 μB/atom. The formation energy is 0.28 eV per atom.

[10]
Crystalline Sm6YEr2Sc at its relaxed geometry, computed with GGA-PBE.

Lattice parameters (Å, degrees): 8.850 8.850 9.392 93.34 93.34 117.71
Sites, in units of the cell vectors:
Sm (0.002, 0.439, 0.807)
Sm (0.125, 0.764, 0.552)
Sm (0.236, 0.875, 0.948)
Sm (0.289, 0.509, 0.386)
Sm (0.439, 0.002, 0.307)
Sm (0.491, 0.711, 0.114)
Sm (0.509, 0.289, 0.886)
Sm (0.561, 0.998, 0.693)
Sm (0.711, 0.491, 0.614)
Sm (0.764, 0.125, 0.052)
Sm (0.875, 0.236, 0.448)
Sm (0.998, 0.561, 0.193)
Y (0.025, 0.975, 0.250)
Y (0.975, 0.025, 0.750)
Er (0.204, 0.307, 0.047)
Er (0.307, 0.204, 0.547)
Er (0.693, 0.796, 0.453)
Er (0.796, 0.693, 0.953)
Sc (0.419, 0.581, 0.750)
Sc (0.581, 0.419, 0.250)

Values from the calculation:
Its space group is C2/c, No. 15. The calculation puts the spin magnetization at 0.00 μB/atom. The formation energy is 0.13 eV per atom.

[11]
Crystalline Sm6Y2Er3Sc at its relaxed geometry, computed with GGA-PBE.

Lattice parameters (Å, degrees): 6.177 6.177 11.695 95.03 95.03 119.98
Sites, in units of the cell vectors:
Sm (0.083, 0.413, 0.749)
Sm (0.247, 0.247, 0.251)
Sm (0.413, 0.083, 0.749)
Sm (0.587, 0.917, 0.251)
Sm (0.753, 0.753, 0.749)
Sm (0.917, 0.587, 0.251)
Y (0.333, 0.667, 0.500)
Y (0.667, 0.333, 0.500)
Er (0.167, 0.833, 0.000)
Er (0.500, 0.500, 0.000)
Er (0.833, 0.167, 0.000)
Sc (0.000, 0.000, 0.500)

Values from the calculation:
Its space group is C2/m, No. 12. The calculation puts the spin magnetization at 0.00 μB/atom. The formation energy is 0.02 eV per atom.

[12]
Crystalline SmY5ErSc2 at its relaxed geometry, computed with GGA-PBE.

Lattice parameters (Å, degrees): 11.076 11.076 9.372 90.00 90.00 150.62
Sites, in units of the cell vectors:
Sm (0.184, 0.816, 0.500)
Sm (0.816, 0.184, 0.000)
Y (0.010, 0.990, 0.495)
Y (0.264, 0.736, 0.818)
Y (0.307, 0.693, 0.197)
Y (0.389, 0.611, 0.528)
Y (0.469, 0.531, 0.230)
Y (0.531, 0.469, 0.730)
Y (0.611, 0.389, 0.028)
Y (0.693, 0.307, 0.697)
Y (0.736, 0.264, 0.318)
Y (0.990, 0.010, 0.995)
Er (0.402, 0.598, 0.901)
Er (0.598, 0.402, 0.401)
Sc (0.113, 0.887, 0.805)
Sc (0.135, 0.865, 0.184)
Sc (0.865, 0.135, 0.684)
Sc (0.887, 0.113, 0.305)

Values from the calculation:
Its space group is Cmc2_1, No. 36. The calculation puts the spin magnetization at 0.00 μB/atom. The formation energy is 0.17 eV per atom.

[13]
Crystalline Sm5Y2ErSc at its relaxed geometry, computed with GGA-PBE.

Lattice parameters (Å, degrees): 11.254 11.254 10.120 90.00 90.00 152.56
Sites, in units of the cell vectors:
Sm (0.000, 0.000, 0.000)
Sm (0.000, 0.000, 0.500)
Sm (0.125, 0.875, 0.750)
Sm (0.221, 0.779, 0.063)
Sm (0.221, 0.779, 0.437)
Sm (0.499, 0.501, 0.250)
Sm (0.501, 0.499, 0.750)
Sm (0.779, 0.221, 0.563)
Sm (0.779, 0.221, 0.937)
Sm (0.875, 0.125, 0.250)
Y (0.384, 0.616, 0.501)
Y (0.384, 0.616, 0.999)
Y (0.616, 0.384, 0.001)
Y (0.616, 0.384, 0.499)
Er (0.101, 0.899, 0.250)
Er (0.899, 0.101, 0.750)
Sc (0.284, 0.716, 0.750)
Sc (0.716, 0.284, 0.250)

Values from the calculation:
Its space group is Cmcm, No. 63. The calculation puts the spin magnetization at 0.00 μB/atom. The formation energy is 0.13 eV per atom.

[14]
Crystalline SmY6Er2Sc at its relaxed geometry, computed with GGA-PBE.

Lattice parameters (Å, degrees): 9.108 9.108 8.751 91.17 91.17 119.02
Sites, in units of the cell vectors:
Sm (0.033, 0.967, 0.750)
Sm (0.967, 0.033, 0.250)
Y (0.047, 0.459, 0.294)
Y (0.130, 0.792, 0.052)
Y (0.208, 0.870, 0.448)
Y (0.267, 0.526, 0.908)
Y (0.459, 0.047, 0.794)
Y (0.474, 0.733, 0.592)
Y (0.526, 0.267, 0.408)
Y (0.541, 0.953, 0.206)
Y (0.733, 0.474, 0.092)
Y (0.792, 0.130, 0.552)
Y (0.870, 0.208, 0.948)
Y (0.953, 0.541, 0.706)
Er (0.211, 0.320, 0.556)
Er (0.320, 0.211, 0.056)
Er (0.680, 0.789, 0.944)
Er (0.789, 0.680, 0.444)
Sc (0.444, 0.556, 0.250)
Sc (0.556, 0.444, 0.750)

Values from the calculation:
Its space group is C2/c, No. 15. The calculation puts the spin magnetization at 0.00 μB/atom. The formation energy is 0.12 eV per atom.

[15]
Crystalline SmY2ErSc4 at its relaxed geometry, computed with GGA-PBE.

Lattice parameters (Å, degrees): 4.912 4.912 9.340 90.00 90.00 90.00
Sites, in units of the cell vectors:
Sm (0.000, 0.000, 0.000)
Y (0.000, 0.000, 0.500)
Y (0.500, 0.500, 0.000)
Er (0.500, 0.500, 0.500)
Sc (0.000, 0.500, 0.251)
Sc (0.000, 0.500, 0.749)
Sc (0.500, 0.000, 0.251)
Sc (0.500, 0.000, 0.749)

Values from the calculation:
Its space group is P4/mmm, No. 123. The calculation puts the spin magnetization at 0.00 μB/atom. The formation energy is 0.06 eV per atom.

[16]
Crystalline Sm2YErSc4 at its relaxed geometry, computed with GGA-PBE.

Lattice parameters (Å, degrees): 4.943 4.943 9.256 90.00 90.00 90.00
Sites, in units of the cell vectors:
Sm (0.000, 0.000, 0.000)
Sm (0.500, 0.500, 0.500)
Y (0.000, 0.000, 0.500)
Er (0.500, 0.500, 0.000)
Sc (0.000, 0.500, 0.248)
Sc (0.000, 0.500, 0.752)
Sc (0.500, 0.000, 0.248)
Sc (0.500, 0.000, 0.752)

Values from the calculation:
Its space group is P4/mmm, No. 123. The calculation puts the spin magnetization at 0.00 μB/atom. The formation energy is 0.05 eV per atom.

[17]
Crystalline Sm5YErSc2 at its relaxed geometry, computed with GGA-PBE.

Lattice parameters (Å, degrees): 10.423 10.423 10.425 90.00 90.00 149.29
Sites, in units of the cell vectors:
Sm (0.012, 0.988, 0.500)
Sm (0.276, 0.724, 0.799)
Sm (0.301, 0.699, 0.194)
Sm (0.384, 0.616, 0.507)
Sm (0.480, 0.520, 0.226)
Sm (0.520, 0.480, 0.726)
Sm (0.616, 0.384, 0.007)
Sm (0.699, 0.301, 0.694)
Sm (0.724, 0.276, 0.299)
Sm (0.988, 0.012, 0.000)
Y (0.194, 0.806, 0.498)
Y (0.806, 0.194, 0.998)
Er (0.409, 0.591, 0.937)
Er (0.591, 0.409, 0.437)
Sc (0.113, 0.887, 0.226)
Sc (0.113, 0.887, 0.791)
Sc (0.887, 0.113, 0.291)
Sc (0.887, 0.113, 0.726)

Values from the calculation:
Its space group is Cmc2_1, No. 36. The calculation puts the spin magnetization at 0.00 μB/atom. The formation energy is 0.18 eV per atom.

[18]
Crystalline Sm2Y6ErSc3 at its relaxed geometry, computed with GGA-PBE.

Lattice parameters (Å, degrees): 6.084 6.084 11.541 95.04 95.04 119.98
Sites, in units of the cell vectors:
Sm (0.167, 0.833, 0.000)
Sm (0.833, 0.167, 0.000)
Y (0.080, 0.413, 0.740)
Y (0.254, 0.254, 0.260)
Y (0.413, 0.080, 0.740)
Y (0.587, 0.920, 0.260)
Y (0.746, 0.746, 0.740)
Y (0.920, 0.587, 0.260)
Er (0.500, 0.500, 0.000)
Sc (0.000, 0.000, 0.500)
Sc (0.334, 0.666, 0.500)
Sc (0.666, 0.334, 0.500)

Values from the calculation:
Its space group is C2/m, No. 12. The calculation puts the spin magnetization at 0.00 μB/atom. The formation energy is 0.05 eV per atom.

[19]
Crystalline SmY2ErSc2 at its relaxed geometry, computed with GGA-PBE.

Lattice parameters (Å, degrees): 6.299 17.372 3.346 90.00 90.00 90.00
Sites, in units of the cell vectors:
Sm (0.000, 0.000, 0.000)
Sm (0.500, 0.500, 0.500)
Y (0.226, 0.310, 0.000)
Y (0.274, 0.810, 0.500)
Y (0.726, 0.190, 0.500)
Y (0.774, 0.690, 0.000)
Er (0.000, 0.500, 0.000)
Er (0.500, 0.000, 0.500)
Sc (0.226, 0.145, 0.500)
Sc (0.274, 0.645, 0.000)
Sc (0.726, 0.355, 0.000)
Sc (0.774, 0.855, 0.500)

Values from the calculation:
Its space group is Pnnm, No. 58. The calculation puts the spin magnetization at 0.00 μB/atom. The formation energy is 0.27 eV per atom.